a) Below is a geometry-optimized TlIr2Rh2 structure, with properties calculated at the GGA-PBE level.

Unit cell a=3.6713 b=3.6713 c=6.9687 alpha=74.73 beta=74.73 gamma=90.00
Atoms (fractional coordinates):
1 Rh 0.6027 0.6027 0.7946
2 Rh 0.3973 0.3973 0.2054
3 Ir 0.2500 0.7500 0.5000
4 Ir 0.7500 0.2500 0.5000
5 Tl 0.0000 0.0000 0.0000

Computed properties:
V: 17.433 Å³ per atom
Total magnetic moment: 0.0 Bohr magnetons per cell
SG: I4/mmm, No. 139
Fermi-level density of states: 1.52 states/eV per atom


b) Below is a geometry-optimized TlIr2Rh2 structure, with properties calculated at the GGA-PBE level.

Unit cell a=7.6955 b=7.6955 c=2.8192 alpha=90.00 beta=90.00 gamma=90.00
Atoms (fractional coordinates):
1 Ir 0.1205 0.3795 0.0000
2 Ir 0.8795 0.6205 0.0000
3 Ir 0.3795 0.8795 0.0000
4 Ir 0.6205 0.1205 0.0000
5 Rh 0.1757 0.6757 0.5000
6 Rh 0.3243 0.1757 0.5000
7 Rh 0.6757 0.8243 0.5000
8 Rh 0.8243 0.3243 0.5000
9 Tl 0.0000 0.0000 0.0000
10 Tl 0.5000 0.5000 0.0000

Computed properties:
V: 16.696 Å³ per atom
Total magnetic moment: 0.0 Bohr magnetons per cell
SG: P4/mbm, No. 127
Fermi-level density of states: 0.99 states/eV per atom


c) Below is a geometry-optimized TlIr2Rh2 structure, with properties calculated at the GGA-PBE level.

Unit cell a=7.7199 b=7.7199 c=2.7956 alpha=90.00 beta=90.00 gamma=90.00
Atoms (fractional coordinates):
1 Rh 0.3782 0.8782 0.0000
2 Rh 0.6218 0.1218 0.0000
3 Rh 0.8782 0.6218 0.0000
4 Rh 0.1218 0.3782 0.0000
5 Tl 0.5000 0.5000 0.0000
6 Tl 0.0000 0.0000 0.0000
7 Ir 0.3265 0.1735 0.5000
8 Ir 0.8265 0.3265 0.5000
9 Ir 0.1735 0.6735 0.5000
10 Ir 0.6735 0.8265 0.5000

Computed properties:
V: 16.661 Å³ per atom
Total magnetic moment: 0.0 Bohr magnetons per cell
SG: P4/mbm, No. 127
Fermi-level density of states: 1.45 states/eV per atom


The structure shown above that is most stable: b).